1.
Computed, not measured: a relaxed structure of LiCo5O3F5 at the PBE+U level of DFT.

Lattice parameters (Å, degrees): 6.147 6.147 6.091 119.59 119.59 59.27
Fractional positions:
1 Li 0.000 0.000 0.000
2 Co 0.002 0.476 0.999
3 Co 0.332 0.332 0.587
4 Co 0.476 0.002 0.999
5 Co 0.634 0.634 0.350
6 Co 0.988 0.988 0.488
7 O 0.212 0.212 0.736
8 O 0.227 0.227 0.211
9 O 0.762 0.762 0.224
10 F 0.225 0.742 0.742
11 F 0.233 0.746 0.227
12 F 0.742 0.225 0.742
13 F 0.746 0.233 0.227
14 F 0.747 0.747 0.751

Summary:
As for the symmetry: No. 8. Its calculated total energy is -5.394 eV per atom.


2.
Computed, not measured: a relaxed structure of Si2Mo4P6O25 at the PBE+U level of DFT.

Lattice parameters (Å, degrees): 14.891 14.891 8.008 90.00 90.00 120.00
Fractional positions:
1 Si 0.000 0.000 0.199
2 Si 0.000 0.000 0.801
3 Si 0.333 0.667 0.299
4 Si 0.333 0.667 0.698
5 Si 0.667 0.333 0.302
6 Si 0.667 0.333 0.701
7 Mo 0.000 0.338 0.450
8 Mo 0.000 0.662 0.550
9 Mo 0.002 0.330 0.055
10 Mo 0.328 0.998 0.055
11 Mo 0.330 0.328 0.945
12 Mo 0.338 0.000 0.450
13 Mo 0.338 0.338 0.550
14 Mo 0.662 0.000 0.550
15 Mo 0.662 0.662 0.450
16 Mo 0.670 0.672 0.055
17 Mo 0.672 0.002 0.945
18 Mo 0.998 0.670 0.945
19 P 0.094 0.232 0.749
20 P 0.102 0.529 0.754
21 P 0.138 0.906 0.749
22 P 0.195 0.760 0.248
23 P 0.232 0.138 0.251
24 P 0.240 0.435 0.248
25 P 0.428 0.898 0.754
26 P 0.435 0.195 0.752
27 P 0.471 0.572 0.754
28 P 0.529 0.428 0.246
29 P 0.565 0.805 0.248
30 P 0.572 0.102 0.246
31 P 0.760 0.565 0.752
32 P 0.768 0.862 0.749
33 P 0.805 0.240 0.752
34 P 0.862 0.094 0.251
35 P 0.898 0.471 0.246
36 P 0.906 0.768 0.251
37 O 0.000 0.000 0.000
38 O 0.035 0.584 0.755
39 O 0.045 0.928 0.728
40 O 0.048 0.254 0.597
41 O 0.053 0.242 0.917
42 O 0.072 0.117 0.728
43 O 0.082 0.784 0.745
44 O 0.083 0.464 0.908
45 O 0.091 0.476 0.587
46 O 0.117 0.045 0.272
47 O 0.119 0.369 0.256
48 O 0.132 0.722 0.089
49 O 0.138 0.711 0.410
50 O 0.188 0.947 0.917
51 O 0.206 0.952 0.597
52 O 0.216 0.298 0.745
53 O 0.217 0.624 0.770
54 O 0.242 0.188 0.083
55 O 0.251 0.881 0.256
56 O 0.254 0.206 0.403
57 O 0.262 0.550 0.227
58 O 0.278 0.410 0.089
59 O 0.288 0.738 0.227
60 O 0.289 0.428 0.410
61 O 0.298 0.082 0.255
62 O 0.333 0.667 0.499
63 O 0.369 0.251 0.744
64 O 0.376 0.593 0.770
65 O 0.381 0.917 0.908
66 O 0.385 0.909 0.587
67 O 0.407 0.783 0.770
68 O 0.410 0.132 0.911
69 O 0.416 0.451 0.755
70 O 0.428 0.138 0.590
71 O 0.450 0.712 0.227
72 O 0.451 0.035 0.245
73 O 0.464 0.381 0.092
74 O 0.476 0.385 0.413
75 O 0.524 0.615 0.587
76 O 0.536 0.619 0.908
77 O 0.549 0.965 0.755
78 O 0.550 0.288 0.773
79 O 0.572 0.862 0.410
80 O 0.584 0.549 0.245
81 O 0.590 0.868 0.089
82 O 0.593 0.217 0.230
83 O 0.615 0.091 0.413
84 O 0.619 0.083 0.092
85 O 0.624 0.407 0.230
86 O 0.631 0.749 0.256
87 O 0.667 0.333 0.501
88 O 0.702 0.918 0.745
89 O 0.711 0.572 0.590
90 O 0.712 0.262 0.773
91 O 0.722 0.590 0.911
92 O 0.738 0.450 0.773
93 O 0.746 0.794 0.597
94 O 0.749 0.119 0.744
95 O 0.758 0.812 0.917
96 O 0.783 0.376 0.230
97 O 0.784 0.702 0.255
98 O 0.794 0.048 0.403
99 O 0.812 0.053 0.083
100 O 0.862 0.289 0.590
101 O 0.868 0.278 0.911
102 O 0.881 0.631 0.744
103 O 0.883 0.955 0.728
104 O 0.909 0.524 0.413
105 O 0.917 0.536 0.092
106 O 0.918 0.216 0.255
107 O 0.928 0.883 0.272
108 O 0.947 0.758 0.083
109 O 0.952 0.746 0.403
110 O 0.955 0.072 0.272
111 O 0.965 0.416 0.245

Summary:
As for the symmetry: No. 147. The density of states at the Fermi level comes out at 0.00 states/eV per cell. Its calculated total energy is -7.493 eV per atom.


Going through the records in order, we get volume values of 162.8, 512.6 Å³/f.u..